[1]
! PBE CeMnZn4, relaxed; values from VASP
&SYSTEM
  ibrav = 0, nat = 6, ntyp = 3
/
ATOMIC_SPECIES
Ce 140.12 Ce.upf
Mn 54.94 Mn.upf
Zn 65.41 Zn.upf
CELL_PARAMETERS angstrom
0.000 3.722 3.722
3.722 0.000 3.722
3.722 3.722 0.000
ATOMIC_POSITIONS angstrom
Ce 0.000 0.000 0.000
Mn 5.582 5.582 5.582
Zn 2.802 2.802 2.802
Zn 4.642 4.642 2.802
Zn 4.642 2.802 4.642
Zn 2.802 4.642 4.642
! SG: F-43m (216)
! Total magnetization: 1.51 μB per cell
! Energy of formation from the pure elements: -0.0599 eV/atom

[2]
! PBE Ce2Mn2Zn15, relaxed; values from VASP
&SYSTEM
  ibrav = 0, nat = 19, ntyp = 3
/
ATOMIC_SPECIES
Ce 140.12 Ce.upf
Mn 54.94 Mn.upf
Zn 65.41 Zn.upf
CELL_PARAMETERS angstrom
4.512 2.605 4.401
-4.512 2.605 4.401
0.000 -5.210 4.401
ATOMIC_POSITIONS angstrom
Ce 0.000 0.000 2.170
Ce 0.000 0.000 11.032
Mn 0.000 0.000 5.270
Mn 0.000 0.000 7.932
Zn -2.256 -1.303 4.401
Zn 0.000 -2.639 4.171
Zn -2.285 1.319 4.171
Zn -1.285 -2.227 6.601
Zn -2.571 0.000 6.601
Zn -2.285 -1.319 9.031
Zn -2.256 1.303 8.801
Zn 1.285 -2.227 6.601
Zn 0.000 2.605 4.401
Zn -1.285 2.227 6.601
Zn 2.285 1.319 4.171
Zn 2.571 0.000 6.601
Zn 1.285 2.227 6.601
Zn 2.285 -1.319 9.031
Zn 0.000 2.639 9.031
! SG: R-3m (166)
! Total magnetization: 5.51 μB per cell
! Energy of formation from the pure elements: -0.1598 eV/atom

Repeat the first record exactly.
! PBE CeMnZn4, relaxed; values from VASP
&SYSTEM
  ibrav = 0, nat = 6, ntyp = 3
/
ATOMIC_SPECIES
Ce 140.12 Ce.upf
Mn 54.94 Mn.upf
Zn 65.41 Zn.upf
CELL_PARAMETERS angstrom
0.000 3.722 3.722
3.722 0.000 3.722
3.722 3.722 0.000
ATOMIC_POSITIONS angstrom
Ce 0.000 0.000 0.000
Mn 5.582 5.582 5.582
Zn 2.802 2.802 2.802
Zn 4.642 4.642 2.802
Zn 4.642 2.802 4.642
Zn 2.802 4.642 4.642
! SG: F-43m (216)
! Total magnetization: 1.51 μB per cell
! Energy of formation from the pure elements: -0.0599 eV/atom

The highest energy of formation from the pure elements belongs to which entry? CeMnZn4